LiLa2Ru (GGA-PBE, relaxed); E_tot = -20.66 eV/f.u.; ΔH_f (0 K) = 37 kJ/mol of formula units; Fermi-level density of states = 4.5 states/eV/f.u.
1.0
5.574 0.035 0.000
1.996 5.205 0.000
-3.785 -2.620 3.144
La Li Ru
2 1 1
direct
0.000 0.000 0.000 La
0.250 0.750 0.500 La
0.500 0.500 0.000 Li
0.750 0.250 0.500 Ru